Compound: MnAl2CdF
Source: the Alexandria database
Functional: PBE+U
Structure: relaxed

Unit cell a=4.364 b=4.364 c=5.080 alpha=90.00 beta=90.00 gamma=90.00
Space group P4/mmm (No. 123)
Unique sites:
1 Mn 0.000 0.000 0.000 (multiplicity 1)
2 Al 0.000 0.500 0.500 (multiplicity 2)
3 Cd 0.500 0.500 0.000 (multiplicity 1)
4 F 0.500 0.500 0.500 (multiplicity 1)

Results
V = 19.35 A^3/atom
Total moment = 0.89 μB per atom
E = -0.26943 Ry per atom